Entry 1:
! LiSmSn (SCAN, single point on PBEsol structure); values from VASP
! Space-group type ... P6_3mc, No. 186
! Density ... 6.5 g cm⁻³
! E_tot ... -85.0 eV per formula unit
! Magnetization ... 0.00 μB/cell
! DOS at the Fermi energy ... 4.784 states/eV per cell
&SYSTEM
  ibrav = 0, nat = 24, ntyp = 3
/
ATOMIC_SPECIES
Li 6.94 Li.upf
Sm 150.36 Sm.upf
Sn 118.71 Sn.upf
ATOMIC_POSITIONS angstrom
Li 0.0000 2.7036 0.0000
Li -2.3383 6.7536 0.0000
Li 0.0000 5.4036 4.5195
Li 2.3414 1.3518 3.7165
Li 2.3383 6.7536 0.0000
Li 4.6797 2.7018 0.8030
Li 7.0179 1.3518 3.7165
Li 4.6797 5.4018 3.7165
Sm 0.0000 0.0000 2.1477
Sm 0.0000 0.0000 5.8642
Sm -2.1867 4.1411 2.1720
Sm 2.1867 4.1411 2.1720
Sm 0.0000 7.9286 2.1720
Sm 4.6797 0.1768 5.8885
Sm 2.4930 3.9643 5.8885
Sm 6.8664 3.9643 5.8885
Sn 0.0000 2.7007 4.1464
Sn -2.3408 6.7551 4.1464
Sn 2.3389 1.3504 0.4299
Sn 0.0000 5.4036 0.1799
Sn 4.6797 2.7018 3.8965
Sn 2.3408 6.7551 4.1464
Sn 7.0205 1.3504 0.4299
Sn 4.6797 5.4047 0.4299
CELL_PARAMETERS angstrom
9.3593 0.0000 0.0000
-4.6797 8.1054 0.0000
0.0000 0.0000 7.4331

Entry 2:
! LiSmSn2 (SCAN, single point on PBEsol structure); values from VASP
! Space-group type ... Cmcm, No. 63
! Density ... 7.1 g cm⁻³
! E_tot ... -121.1 eV per formula unit
! Magnetization ... 0.00 μB/cell
! DOS at the Fermi energy ... 3.745 states/eV per cell
&SYSTEM
  ibrav = 0, nat = 16, ntyp = 3
/
ATOMIC_SPECIES
Li 6.94 Li.upf
Sm 150.36 Sm.upf
Sn 118.71 Sn.upf
ATOMIC_POSITIONS angstrom
Li 0.0000 3.2840 1.1129
Li 0.0000 15.5640 3.3388
Li 2.1893 6.1400 3.3388
Li 2.1893 12.7081 1.1129
Sm 0.0000 7.4141 1.1129
Sm 0.0000 11.4340 3.3388
Sm 2.1893 2.0100 3.3388
Sm 2.1893 16.8381 1.1129
Sn 0.0000 0.8327 1.1129
Sn 0.0000 4.6945 3.3388
Sn 0.0000 14.1536 1.1129
Sn 0.0000 18.0154 3.3388
Sn 2.1893 4.7295 1.1129
Sn 2.1893 8.5914 3.3388
Sn 2.1893 10.2567 1.1129
Sn 2.1893 14.1186 3.3388
CELL_PARAMETERS angstrom
4.3785 0.0000 0.0000
0.0000 18.8481 0.0000
0.0000 0.0000 4.4517

Entry 3:
! Li2SmTl (SCAN, single point on PBEsol structure); values from VASP
! Space-group type ... Fm-3m, No. 225
! Density ... 7.7 g cm⁻³
! E_tot ... -123.2 eV per formula unit
! Magnetization ... 0.00 μB/cell
! DOS at the Fermi energy ... 2.664 states/eV per cell
&SYSTEM
  ibrav = 0, nat = 16, ntyp = 3
/
ATOMIC_SPECIES
Li 6.94 Li.upf
Sm 150.36 Sm.upf
Tl 204.38 Tl.upf
ATOMIC_POSITIONS angstrom
Li 1.7091 1.7091 1.7091
Li 1.7091 1.7091 5.1272
Li 1.7091 5.1272 1.7091
Li 1.7091 5.1272 5.1272
Li 5.1272 1.7091 1.7091
Li 5.1272 1.7091 5.1272
Li 5.1272 5.1272 1.7091
Li 5.1272 5.1272 5.1272
Sm 0.0000 0.0000 0.0000
Sm 0.0000 3.4181 3.4181
Sm 3.4181 0.0000 3.4181
Sm 3.4181 3.4181 0.0000
Tl 0.0000 0.0000 3.4181
Tl 0.0000 3.4181 0.0000
Tl 3.4181 0.0000 0.0000
Tl 3.4181 3.4181 3.4181
CELL_PARAMETERS angstrom
6.8363 0.0000 0.0000
0.0000 6.8363 0.0000
0.0000 0.0000 6.8363

Entry 4:
! Li3Sn (SCAN, single point on PBEsol structure); values from VASP
! Space-group type ... Fm-3m, No. 225
! Density ... 3.4 g cm⁻³
! E_tot ... -44.7 eV per formula unit
! Magnetization ... 0.38 μB/cell
! DOS at the Fermi energy ... 4.742 states/eV per cell
&SYSTEM
  ibrav = 0, nat = 16, ntyp = 2
/
ATOMIC_SPECIES
Li 6.94 Li.upf
Sn 118.71 Sn.upf
ATOMIC_POSITIONS angstrom
Li 0.0000 0.0000 0.0000
Li 0.0000 3.2471 3.2471
Li 1.6236 1.6236 1.6236
Li 1.6236 1.6236 4.8707
Li 1.6236 4.8707 1.6236
Li 1.6236 4.8707 4.8707
Li 3.2471 0.0000 3.2471
Li 3.2471 3.2471 0.0000
Li 4.8707 1.6236 1.6236
Li 4.8707 1.6236 4.8707
Li 4.8707 4.8707 1.6236
Li 4.8707 4.8707 4.8707
Sn 0.0000 0.0000 3.2471
Sn 0.0000 3.2471 0.0000
Sn 3.2471 0.0000 0.0000
Sn 3.2471 3.2471 3.2471
CELL_PARAMETERS angstrom
6.4942 0.0000 0.0000
0.0000 6.4942 0.0000
0.0000 0.0000 6.4942

Repeat the second record exactly.
! LiSmSn2 (SCAN, single point on PBEsol structure); values from VASP
! Space-group type ... Cmcm, No. 63
! Density ... 7.1 g cm⁻³
! E_tot ... -121.1 eV per formula unit
! Magnetization ... 0.00 μB/cell
! DOS at the Fermi energy ... 3.745 states/eV per cell
&SYSTEM
  ibrav = 0, nat = 16, ntyp = 3
/
ATOMIC_SPECIES
Li 6.94 Li.upf
Sm 150.36 Sm.upf
Sn 118.71 Sn.upf
ATOMIC_POSITIONS angstrom
Li 0.0000 3.2840 1.1129
Li 0.0000 15.5640 3.3388
Li 2.1893 6.1400 3.3388
Li 2.1893 12.7081 1.1129
Sm 0.0000 7.4141 1.1129
Sm 0.0000 11.4340 3.3388
Sm 2.1893 2.0100 3.3388
Sm 2.1893 16.8381 1.1129
Sn 0.0000 0.8327 1.1129
Sn 0.0000 4.6945 3.3388
Sn 0.0000 14.1536 1.1129
Sn 0.0000 18.0154 3.3388
Sn 2.1893 4.7295 1.1129
Sn 2.1893 8.5914 3.3388
Sn 2.1893 10.2567 1.1129
Sn 2.1893 14.1186 3.3388
CELL_PARAMETERS angstrom
4.3785 0.0000 0.0000
0.0000 18.8481 0.0000
0.0000 0.0000 4.4517